A geometry-optimized MgFeBi2Os structure. Source: the Alexandria database, functional PBE-GGA.

Cell lengths 5.2472, 5.2472, 5.0039 Å; angles 90.00, 90.00, 90.00 degrees
With the nearest neighbours (Å) after each atom.
Fractional coordinates of all 5 atoms:
Mg 0.0000 0.0000 0.0000  2 Os 2.50
Fe 0.5000 0.5000 0.0000  8 Bi 3.63, 4 Mg 3.71
Bi 0.0000 0.5000 0.5000  2 Os 2.62
Bi 0.5000 0.0000 0.5000  2 Os 2.62
Os 0.0000 0.0000 0.5000  2 Mg 2.50, 4 Bi 2.62

Output
ΔE_f: 1.02 eV/atom
DOS(E_F): 8.02 states/eV per cell
Crystal system: tetragonal